[1]
A plane-wave DFT calculation with meta-GGA SCAN was carried out for a crystal of CeB2Rh2C relaxed with PBEsol.

Cell lengths 5.750, 5.750, 5.750 Å; angles 141.44, 141.44, 55.67 degrees
Atoms (fractional coordinates):
Ce  0.000  0.000  0.000
B  0.352  0.352  0.000
B  0.648  0.648  0.000
Rh  0.250  0.750  0.500
Rh  0.750  0.250  0.500
C  0.500  0.500  0.000

SG	I4/mmm (139)
energy relative to the elements	-0.732	eV per atom

***

[2]
A plane-wave DFT calculation with meta-GGA SCAN was carried out for a crystal of LaAsOsBr2 relaxed with PBEsol.

Cell lengths 5.048, 5.048, 4.723 Å; angles 90.00, 90.00, 90.00 degrees
Atoms (fractional coordinates):
La  0.000  0.000  0.000
As  0.500  0.500  0.000
Os  0.500  0.500  0.500
Br  0.000  0.500  0.500
Br  0.500  0.000  0.500

SG	P4/mmm (123)
energy relative to the elements, uncorrected	-0.206	eV/atom

***

[3]
A plane-wave DFT calculation with meta-GGA SCAN was carried out for a crystal of ReRu3Pb relaxed with PBEsol.

Cell lengths 4.654, 4.654, 4.654 Å; angles 90.00, 90.00, 90.00 degrees
Atoms (fractional coordinates):
Re  0.000  0.000  0.000
Ru  0.000  0.000  0.500
Ru  0.000  0.500  0.000
Ru  0.500  0.000  0.000
Pb  0.500  0.500  0.500

SG	Pm-3m (221)
energy relative to the elements	1.440	eV per atom